Entry from Alexandria: LaHo4Te5 after structural relaxation (GGA-PBE).

a = 4.3627 Å, b = 6.2050 Å, c = 11.6685 Å
α = 105.42°, β = 100.77°, γ = 90.00°
Sites, in units of the cell vectors:
Ho 0.7956 0.7956 0.5911
Ho 0.4024 0.4024 0.8047
Ho 0.2044 0.2044 0.4089
Ho 0.5976 0.5976 0.1953
Te 0.6077 0.1077 0.2153
Te 0.3923 0.8923 0.7847
Te 0.0000 0.5000 0.0000
Te 0.8028 0.3028 0.6057
Te 0.1972 0.6972 0.3943
La 0.0000 0.0000 0.0000

spin magnetization = 0.00 μB/cell
Fermi-level density of states = 0.6574 states/eV/atom
space group = Immm (71)
uncorrected formation energy = -1.31 eV/atom
total DFT energy (no corrections) = -52.00 eV per cell